1.
A geometry-optimized Tc2MoIr structure, computed with PBE.

abc: 4.4011 4.4011 4.4011
angles: 60.00 60.00 60.00
With the nearest neighbours (Å) after each atom.
Element x y z (fractional)
Tc 0.2500 0.2500 0.2500  4 Ir 2.70, 4 Mo 2.70
Tc 0.7500 0.7500 0.7500  4 Ir 2.70, 4 Mo 2.70
Mo 0.0000 0.0000 0.0000  8 Tc 2.70
Ir 0.5000 0.5000 0.5000  8 Tc 2.70

Output
Total DFT energy (no corrections), eV/atom: -9.857
E above lowest polymorph, meV per atom: 390.4
Theoretical density, g/cm3: 13.34

2.
A geometry-optimized Hf2ZnRe structure, computed with PBE.

abc: 3.3283 3.3283 6.5020
angles: 90.00 90.00 90.00
With the nearest neighbours (Å) after each atom.
Element x y z (fractional)
Hf 0.0000 0.0000 0.2407  4 Re 2.83, 4 Zn 2.90, 1 Hf 3.13
Hf 0.0000 0.0000 0.7593  4 Re 2.83, 4 Zn 2.90, 1 Hf 3.13
Zn 0.5000 0.5000 0.5000  8 Hf 2.90
Re 0.5000 0.5000 0.0000  8 Hf 2.83

Output
Total DFT energy (no corrections), eV/atom: -8.757
Theoretical density, g/cm3: 14.03

3.
A geometry-optimized MgReBr structure, computed with PBE.

abc: 4.1116 4.1128 10.7233
angles: 91.89 98.94 119.95
With the nearest neighbours (Å) after each atom.
Element x y z (fractional)
Mg 0.0000 0.0000 0.0000  3 Br 2.76, 3 Re 2.92
Mg 0.2290 0.1507 0.3842  3 Br 2.83-2.84, 3 Re 3.11-3.12
Re 0.4478 0.7408 0.1920  3 Re 2.39-2.40
Re 0.7634 0.3959 0.1624  3 Re 2.39-2.40
Br 0.5871 0.2822 0.8668  3 Mg 2.76
Br 0.9842 0.5401 0.5313  3 Mg 2.83-2.84

Output
Total DFT energy (no corrections), eV/atom: -5.431
Raw formation energy, meV/atom: -193
E above lowest polymorph, meV per atom: 42.1
Theoretical density, g/cm3: 6.27

4.
A geometry-optimized Ho4CdRu2Rh structure, computed with PBE.

abc: 8.5087 8.5087 8.5087
angles: 33.44 33.44 33.44
With the nearest neighbours (Å) after each atom.
Element x y z (fractional)
Ho 0.1194 0.1194 0.1194  1 Rh 2.87, 4 Ru 2.95-3.12, 3 Cd 3.05
Ho 0.3711 0.3711 0.3711  4 Ru 2.94-3.04, 3 Rh 2.97, 1 Cd 3.10
Ho 0.6289 0.6289 0.6289  4 Ru 2.94-3.04, 3 Rh 2.97, 1 Cd 3.10
Ho 0.8806 0.8806 0.8806  1 Rh 2.87, 4 Ru 2.95-3.12, 3 Cd 3.05
Cd 0.5000 0.5000 0.5000  8 Ho 3.05-3.10
Ru 0.2490 0.2490 0.2490  8 Ho 2.94-3.12
Ru 0.7510 0.7510 0.7510  8 Ho 2.94-3.12
Rh 0.0000 0.0000 0.0000  8 Ho 2.87-2.97

Output
Total DFT energy (no corrections), eV/atom: -6.143
Theoretical density, g/cm3: 10.74

5.
A geometry-optimized GaPbAu2 structure, computed with PBE.

abc: 7.2502 7.2502 7.2502
angles: 31.59 31.59 31.59
With the nearest neighbours (Å) after each atom.
Element x y z (fractional)
Ga 0.0000 0.0000 0.0000  6 Au 2.67
Pb 0.1696 0.1696 0.1696  6 Au 3.03-3.10
Au 0.4009 0.4009 0.4009  3 Ga 2.67
Au 0.5995 0.5995 0.5995  3 Ga 2.67

Output
Total DFT energy (no corrections), eV/atom: -3.388
Theoretical density, g/cm3: 12.00

6.
A geometry-optimized LiTa2Pt structure, computed with PBE.

abc: 2.7766 4.4628 5.3538
angles: 90.00 104.06 90.00
With the nearest neighbours (Å) after each atom.
Element x y z (fractional)
Li 0.0000 0.0000 0.0000  2 Pt 2.70, 4 Ta 2.72, 2 Li 2.78
Ta 0.2088 0.5000 0.7564  4 Ta 2.71-2.78, 2 Li 2.72, 2 Pt 2.84
Ta 0.7912 0.5000 0.2436  4 Ta 2.71-2.78, 2 Li 2.72, 2 Pt 2.84
Pt 0.5000 0.0000 0.5000  2 Li 2.70, 2 Pt 2.78, 4 Ta 2.84

Output
Total DFT energy (no corrections), eV/atom: -8.044
Theoretical density, g/cm3: 14.55

7.
A geometry-optimized Mg4ZrCo structure, computed with PBE.

abc: 5.5415 5.5415 5.5415
angles: 60.00 60.00 60.00
With the nearest neighbours (Å) after each atom.
Element x y z (fractional)
Mg 0.1251 0.1251 0.1251  6 Mg 2.77
Mg 0.1251 0.1251 0.6247  6 Mg 2.77
Mg 0.1251 0.6247 0.1251  6 Mg 2.77
Mg 0.6247 0.1251 0.1251  6 Mg 2.77
Zr 0.7500 0.7500 0.7500  12 Mg 3.25, 4 Co 3.39
Co 0.5000 0.5000 0.5000  12 Mg 3.25, 4 Zr 3.39

Output
Total DFT energy (no corrections), eV/atom: -3.255
Theoretical density, g/cm3: 3.41

8.
A geometry-optimized IrWCl2 structure, computed with PBE.

abc: 2.9546 2.9546 8.6342
angles: 90.00 90.00 90.00
With the nearest neighbours (Å) after each atom.
Element x y z (fractional)
Ir 0.0000 0.0000 0.0000  4 W 2.65, 4 Cl 2.80, 4 Ir 2.95
W 0.5000 0.5000 0.1881  4 Ir 2.65, 4 Cl 2.68, 4 W 2.95
Cl 0.0000 0.0000 0.3831  4 W 2.68, 4 Cl 2.95
Cl 0.5000 0.5000 0.7835  4 Ir 2.80, 4 Cl 2.95

Output
Total DFT energy (no corrections), eV/atom: -6.406
Raw formation energy, meV/atom: -29
E above lowest polymorph, meV per atom: 156.4
Theoretical density, g/cm3: 9.85

Calculated volume readings, ordered: 15.1; 18.0; 25.7; 20.8; 23.2; 16.1; 20.1; 18.8 Å³ per atom